# 1
A plane-wave DFT calculation with PBE was carried out for a relaxed LiCuPt2 crystal.

Results
For the relative energy among the computed polymorphs, the calculation gives 0.499 eV/f.u. The symmetry is Imm2. For the total magnetization, the calculation gives 0.00 μB/cell.

Unit cell a=5.205 b=5.205 c=5.205 alpha=148.56 beta=130.51 gamma=59.82
Positions (direct):
Li 0.000 0.000 0.000
Cu 0.757 0.257 0.500
Pt 0.251 0.751 0.500
Pt 0.511 0.511 0.000

***

# 2
A plane-wave DFT calculation with PBE was carried out for a relaxed LiCuPt3 crystal.

Results
For the relative energy among the computed polymorphs, the calculation gives 0.000 eV/f.u. The symmetry is C2/m. For the total magnetization, the calculation gives 0.00 μB/cell.

Unit cell a=7.321 b=7.321 c=7.473 alpha=104.91 beta=104.91 gamma=21.83
Positions (direct):
Li 0.195 0.195 0.346
Li 0.805 0.805 0.654
Cu 0.002 0.002 0.253
Cu 0.998 0.998 0.747
Pt 0.204 0.204 0.844
Pt 0.399 0.399 0.453
Pt 0.403 0.403 0.947
Pt 0.597 0.597 0.053
Pt 0.601 0.601 0.547
Pt 0.796 0.796 0.156

***

# 3
A plane-wave DFT calculation with PBE was carried out for a relaxed LiCuPt2 crystal.

Results
For the relative energy among the computed polymorphs, the calculation gives 1.407 eV/f.u. The symmetry is I-42d. For the total magnetization, the calculation gives 0.00 μB/cell.

Unit cell a=9.162 b=9.162 c=9.162 alpha=156.29 beta=156.29 gamma=33.78
Positions (direct):
Li 0.000 0.000 0.000
Li 0.750 0.250 0.500
Cu 0.250 0.750 0.500
Cu 0.500 0.500 0.000
Pt 0.123 0.625 0.998
Pt 0.375 0.373 0.498
Pt 0.627 0.125 0.002
Pt 0.875 0.877 0.502

***

# 4
A plane-wave DFT calculation with PBE was carried out for a relaxed Li5CuPt crystal.

Results
For the relative energy among the computed polymorphs, the calculation gives 0.000 eV/f.u. The symmetry is C2/c. For the total magnetization, the calculation gives 0.00 μB/cell.

Unit cell a=5.314 b=5.314 c=9.268 alpha=99.61 beta=99.61 gamma=55.75
Positions (direct):
Li 0.187 0.271 0.686
Li 0.233 0.767 0.750
Li 0.271 0.187 0.186
Li 0.340 0.384 0.975
Li 0.384 0.340 0.475
Li 0.616 0.660 0.525
Li 0.660 0.616 0.025
Li 0.729 0.813 0.814
Li 0.767 0.233 0.250
Li 0.813 0.729 0.314
Cu 0.263 0.737 0.250
Cu 0.737 0.263 0.750
Pt 0.000 0.000 0.000
Pt 0.000 0.000 0.500

***

# 5
A plane-wave DFT calculation with PBE was carried out for a relaxed LiCuPt2 crystal.

Results
For the relative energy among the computed polymorphs, the calculation gives 0.000 eV/f.u. The symmetry is R-3m. For the total magnetization, the calculation gives 0.00 μB/cell.

Unit cell a=8.726 b=8.726 c=8.726 alpha=18.17 beta=18.17 gamma=18.17
Positions (direct):
Li 0.000 0.000 0.000
Cu 0.500 0.500 0.500
Pt 0.250 0.250 0.250
Pt 0.750 0.750 0.750

***

# 6
A plane-wave DFT calculation with PBE was carried out for a relaxed LiCu12Pt6 crystal.

Results
The symmetry is R-3. For the total magnetization, the calculation gives 0.00 μB/cell.

Unit cell a=6.796 b=6.796 c=6.796 alpha=106.45 beta=106.45 gamma=106.45
Positions (direct):
Li 0.000 0.000 0.000
Cu 0.146 0.279 0.842
Cu 0.158 0.854 0.721
Cu 0.189 0.478 0.589
Cu 0.279 0.842 0.146
Cu 0.411 0.811 0.522
Cu 0.478 0.589 0.189
Cu 0.522 0.411 0.811
Cu 0.589 0.189 0.478
Cu 0.721 0.158 0.854
Cu 0.811 0.522 0.411
Cu 0.842 0.146 0.279
Cu 0.854 0.721 0.158
Pt 0.079 0.466 0.194
Pt 0.194 0.079 0.466
Pt 0.466 0.194 0.079
Pt 0.534 0.806 0.921
Pt 0.806 0.921 0.534
Pt 0.921 0.534 0.806

***

| no. | calculated total energy (eV per atom) | volume (Å³/cell) | energy of formation from the pure elements (eV/atom) |
| --- | --- | --- | --- |
| 1 | -4.804 | 55.5 | -0.28 |
| 2 | -5.106 | 143.8 | -0.28 |
| 3 | -4.577 | 124.2 | -0.05 |
| 4 | -2.984 | 212.4 | -0.17 |
| 5 | -4.929 | 56.4 | -0.41 |
| 6 | -4.649 | 265.2 | -0.05 |